Below is crystalline Tb5Er2Sn4 at its relaxed geometry, with properties calculated at the PBE-GGA level.

Properties
Symmetry ... C2/m
Uncorrected energy ... -4.78 eV/atom

Lattice parameters (Å, degrees): 10.7739 10.7739 7.6792 103.66 103.66 23.28
Last column: nearest neighbours and their distance in Å.
Fractional coordinates of all 11 atoms:
Tb: 0.0000 0.0000 0.0000  4 Sn 3.08
Tb: 0.3239 0.3239 0.5473  4 Sn 3.10-3.20
Tb: 0.3555 0.3555 0.0411  3 Sn 3.16-3.23, 2 Er 3.51
Tb: 0.6445 0.6445 0.9589  3 Sn 3.16-3.23, 2 Er 3.51
Tb: 0.6761 0.6761 0.4527  4 Sn 3.10-3.20
Er: 0.0729 0.0729 0.6074  5 Sn 3.00-3.23, 1 Er 3.12
Er: 0.9271 0.9271 0.3926  5 Sn 3.00-3.23, 1 Er 3.12
Sn: 0.2176 0.2176 0.7644  1 Er 3.00, 6 Tb 3.10-3.23
Sn: 0.4744 0.4744 0.7074  3 Tb 3.08-3.12, 4 Er 3.23
Sn: 0.5256 0.5256 0.2926  3 Tb 3.08-3.12, 4 Er 3.23
Sn: 0.7824 0.7824 0.2356  1 Er 3.00, 6 Tb 3.10-3.23

---

Below is crystalline Tl2HSI at its relaxed geometry, with properties calculated at the PBE-GGA level.

Properties
Symmetry ... P4mm
Uncorrected energy ... -3.15 eV/atom

Lattice parameters (Å, degrees): 6.0172 6.0172 4.2859 90.00 90.00 90.00
Last column: nearest neighbours and their distance in Å.
Fractional coordinates of all 5 atoms:
Tl: 0.0000 0.5000 0.0000  2 S 3.14
Tl: 0.5000 0.0000 0.0000  2 S 3.14
H: 0.0000 0.0000 0.5281  1 S 1.35
S: 0.0000 0.0000 0.2124  1 H 1.35
I: 0.5000 0.5000 0.4746  8 Tl 3.63-3.76

---

Number 1: calculated volume 31.1 Å³/atom. Number 2: calculated volume 31.0 Å³/atom.